# Tm2AlZn5 (GGA-PBE, relaxed)
data_Tm2AlZn5
_chemical_formula_sum 'Tm4 Al2 Zn10'
_cell_length_a 4.253
_cell_length_b 8.158
_cell_length_c 8.923
_cell_angle_alpha 90.00
_cell_angle_beta 90.00
_cell_angle_gamma 105.11
_space_group_name_H-M_alt 'P 1'
_space_group_IT_number 1
loop_
_space_group_symop_operation_xyz
'x,y,z'
loop_
_atom_site_label
_atom_site_type_symbol
_atom_site_fract_x
_atom_site_fract_y
_atom_site_fract_z
_atom_site_occupancy
Al1 Al 0.552 0.104 0.250 1
Al2 Al 0.448 0.896 0.750 1
Tm1 Tm 0.000 0.000 0.500 1
Tm2 Tm 0.803 0.605 0.750 1
Tm3 Tm 0.197 0.395 0.250 1
Tm4 Tm 0.000 0.000 0.000 1
Zn1 Zn 0.809 0.619 0.107 1
Zn2 Zn 0.646 0.293 0.023 1
Zn3 Zn 0.191 0.381 0.607 1
Zn4 Zn 0.354 0.707 0.977 1
Zn5 Zn 0.394 0.788 0.250 1
Zn6 Zn 0.606 0.212 0.750 1
Zn7 Zn 0.646 0.293 0.477 1
Zn8 Zn 0.809 0.619 0.393 1
Zn9 Zn 0.354 0.707 0.523 1
Zn10 Zn 0.191 0.381 0.893 1
# size of the total moment: 0.000 μB/atom
# space group: No. 63
# formation energy from the elements: -0.330 eV/atom
# V: 298.9 Å³ per cell

---

# TmAlZn2 (GGA-PBE, relaxed)
data_TmAlZn2
_chemical_formula_sum 'Tm4 Al4 Zn8'
_cell_length_a 4.412
_cell_length_b 6.468
_cell_length_c 10.297
_cell_angle_alpha 90.00
_cell_angle_beta 90.00
_cell_angle_gamma 90.00
_space_group_name_H-M_alt 'P 1'
_space_group_IT_number 1
loop_
_space_group_symop_operation_xyz
'x,y,z'
loop_
_atom_site_label
_atom_site_type_symbol
_atom_site_fract_x
_atom_site_fract_y
_atom_site_fract_z
_atom_site_occupancy
Zn1 Zn 0.250 0.554 0.370 1
Zn2 Zn 0.250 0.446 0.131 1
Zn3 Zn 0.250 0.054 0.130 1
Zn4 Zn 0.750 0.946 0.870 1
Zn5 Zn 0.750 0.054 0.631 1
Zn6 Zn 0.750 0.554 0.869 1
Zn7 Zn 0.750 0.446 0.630 1
Zn8 Zn 0.250 0.946 0.369 1
Tm1 Tm 0.250 0.250 0.844 1
Tm2 Tm 0.750 0.750 0.156 1
Tm3 Tm 0.250 0.750 0.656 1
Tm4 Tm 0.750 0.250 0.344 1
Al1 Al 0.250 0.750 0.949 1
Al2 Al 0.750 0.750 0.449 1
Al3 Al 0.750 0.250 0.051 1
Al4 Al 0.250 0.250 0.551 1
# size of the total moment: 0.000 μB/atom
# space group: No. 63
# formation energy from the elements: -0.384 eV/atom
# V: 293.9 Å³ per cell

---

# Tm4AlZn2 (GGA-PBE, relaxed)
data_Tm4AlZn2
_chemical_formula_sum 'Tm8 Al2 Zn4'
_cell_length_a 7.642
_cell_length_b 7.642
_cell_length_c 7.642
_cell_angle_alpha 108.95
_cell_angle_beta 110.51
_cell_angle_gamma 108.95
_space_group_name_H-M_alt 'P 1'
_space_group_IT_number 1
loop_
_space_group_symop_operation_xyz
'x,y,z'
loop_
_atom_site_label
_atom_site_type_symbol
_atom_site_fract_x
_atom_site_fract_y
_atom_site_fract_z
_atom_site_occupancy
Tm1 Tm 0.625 0.754 0.522 1
Tm2 Tm 0.768 0.246 0.871 1
Tm3 Tm 0.478 0.104 0.232 1
Tm4 Tm 0.125 0.396 0.379 1
Tm5 Tm 0.621 0.746 0.018 1
Tm6 Tm 0.982 0.604 0.728 1
Tm7 Tm 0.129 0.896 0.375 1
Tm8 Tm 0.272 0.254 0.875 1
Al1 Al 0.000 0.000 0.000 1
Al2 Al 0.750 0.500 0.250 1
Zn1 Zn 0.501 0.376 0.625 1
Zn2 Zn 0.375 0.876 0.751 1
Zn3 Zn 0.875 0.124 0.499 1
Zn4 Zn 0.249 0.624 0.125 1
# size of the total moment: 0.000 μB/atom
# ΔE to the lowest computed polymorph: 5.4 kJ per mole of atoms
# space group: No. 122
# formation energy from the elements: -0.154 eV/atom
# V: 343.5 Å³ per cell

---

# Tm2AlZn6 (GGA-PBE, relaxed)
data_Tm2AlZn6
_chemical_formula_sum 'Tm2 Al1 Zn6'
_cell_length_a 5.880
_cell_length_b 5.534
_cell_length_c 5.667
_cell_angle_alpha 119.23
_cell_angle_beta 88.68
_cell_angle_gamma 90.00
_space_group_name_H-M_alt 'P 1'
_space_group_IT_number 1
loop_
_space_group_symop_operation_xyz
'x,y,z'
loop_
_atom_site_label
_atom_site_type_symbol
_atom_site_fract_x
_atom_site_fract_y
_atom_site_fract_z
_atom_site_occupancy
Tm1 Tm 0.863 0.667 0.333 1
Tm2 Tm 0.137 0.333 0.667 1
Zn1 Zn 0.665 0.178 0.827 1
Zn2 Zn 0.344 0.819 0.637 1
Zn3 Zn 0.335 0.822 0.173 1
Zn4 Zn 0.656 0.181 0.363 1
Zn5 Zn 0.665 0.649 0.827 1
Zn6 Zn 0.335 0.351 0.173 1
Al1 Al 0.000 0.000 0.000 1
# size of the total moment: 0.000 μB/atom
# space group: No. 12
# formation energy from the elements: -0.303 eV/atom
# V: 160.8 Å³ per cell

---

# Tm3Al2Zn (GGA-PBE, relaxed)
data_Tm3Al2Zn
_chemical_formula_sum 'Tm3 Al2 Zn1'
_cell_length_a 3.508
_cell_length_b 3.508
_cell_length_c 10.819
_cell_angle_alpha 90.00
_cell_angle_beta 90.00
_cell_angle_gamma 90.00
_space_group_name_H-M_alt 'P 1'
_space_group_IT_number 1
loop_
_space_group_symop_operation_xyz
'x,y,z'
loop_
_atom_site_label
_atom_site_type_symbol
_atom_site_fract_x
_atom_site_fract_y
_atom_site_fract_z
_atom_site_occupancy
Tm1 Tm 0.000 0.000 0.339 1
Tm2 Tm 0.000 0.000 0.000 1
Tm3 Tm 0.000 0.000 0.661 1
Zn1 Zn 0.500 0.500 0.500 1
Al1 Al 0.500 0.500 0.829 1
Al2 Al 0.500 0.500 0.171 1
# size of the total moment: 0.000 μB/atom
# space group: No. 123
# formation energy from the elements: -0.385 eV/atom
# V: 133.1 Å³ per cell

---

# TmAlZn2 (GGA-PBE, relaxed)
data_TmAlZn2
_chemical_formula_sum 'Tm1 Al1 Zn2'
_cell_length_a 4.011
_cell_length_b 4.310
_cell_length_c 4.310
_cell_angle_alpha 90.00
_cell_angle_beta 90.00
_cell_angle_gamma 90.00
_space_group_name_H-M_alt 'P 1'
_space_group_IT_number 1
loop_
_space_group_symop_operation_xyz
'x,y,z'
loop_
_atom_site_label
_atom_site_type_symbol
_atom_site_fract_x
_atom_site_fract_y
_atom_site_fract_z
_atom_site_occupancy
Zn1 Zn 0.000 0.500 0.000 1
Zn2 Zn 0.000 0.000 0.500 1
Tm1 Tm 0.500 0.500 0.500 1
Al1 Al 0.500 0.000 0.000 1
# size of the total moment: 0.000 μB/atom
# space group: No. 123
# formation energy from the elements: -0.290 eV/atom
# V: 74.5 Å³ per cell

---

# TmAlZn (GGA-PBE, relaxed)
data_TmAlZn
_chemical_formula_sum 'Tm1 Al1 Zn1'
_cell_length_a 3.267
_cell_length_b 3.267
_cell_length_c 6.025
_cell_angle_alpha 105.73
_cell_angle_beta 105.73
_cell_angle_gamma 90.00
_space_group_name_H-M_alt 'P 1'
_space_group_IT_number 1
loop_
_space_group_symop_operation_xyz
'x,y,z'
loop_
_atom_site_label
_atom_site_type_symbol
_atom_site_fract_x
_atom_site_fract_y
_atom_site_fract_z
_atom_site_occupancy
Tm1 Tm 0.947 0.947 0.894 1
Zn1 Zn 0.267 0.267 0.534 1
Al1 Al 0.636 0.636 0.272 1
# size of the total moment: 0.069 μB/atom
# space group: No. 107
# formation energy from the elements: -0.238 eV/atom
# V: 59.4 Å³ per cell

---

# Tm2Al3Zn4 (GGA-PBE, relaxed)
data_Tm2Al3Zn4
_chemical_formula_sum 'Tm4 Al6 Zn8'
_cell_length_a 5.694
_cell_length_b 7.589
_cell_length_c 8.152
_cell_angle_alpha 90.00
_cell_angle_beta 110.44
_cell_angle_gamma 90.00
_space_group_name_H-M_alt 'P 1'
_space_group_IT_number 1
loop_
_space_group_symop_operation_xyz
'x,y,z'
loop_
_atom_site_label
_atom_site_type_symbol
_atom_site_fract_x
_atom_site_fract_y
_atom_site_fract_z
_atom_site_occupancy
Tm1 Tm 0.896 0.400 0.793 1
Tm2 Tm 0.104 0.600 0.207 1
Tm3 Tm 0.604 0.900 0.207 1
Tm4 Tm 0.396 0.100 0.793 1
Zn1 Zn 0.328 0.482 0.655 1
Zn2 Zn 0.828 0.018 0.655 1
Zn3 Zn 0.185 0.750 0.870 1
Zn4 Zn 0.685 0.750 0.870 1
Zn5 Zn 0.672 0.518 0.345 1
Zn6 Zn 0.815 0.250 0.130 1
Zn7 Zn 0.315 0.250 0.130 1
Zn8 Zn 0.172 0.982 0.345 1
Al1 Al 0.516 0.750 0.532 1
Al2 Al 0.984 0.250 0.468 1
Al3 Al 0.484 0.250 0.468 1
Al4 Al 0.000 0.000 0.000 1
Al5 Al 0.500 0.500 0.000 1
Al6 Al 0.016 0.750 0.532 1
# size of the total moment: 0.000 μB/atom
# space group: No. 64
# formation energy from the elements: -0.310 eV/atom
# V: 330.1 Å³ per cell

---

# Tm4Al12Zn (GGA-PBE, relaxed)
data_Tm4Al12Zn
_chemical_formula_sum 'Tm4 Al12 Zn1'
_cell_length_a 7.477
_cell_length_b 7.477
_cell_length_c 7.477
_cell_angle_alpha 109.47
_cell_angle_beta 109.47
_cell_angle_gamma 109.47
_space_group_name_H-M_alt 'P 1'
_space_group_IT_number 1
loop_
_space_group_symop_operation_xyz
'x,y,z'
loop_
_atom_site_label
_atom_site_type_symbol
_atom_site_fract_x
_atom_site_fract_y
_atom_site_fract_z
_atom_site_occupancy
Al1 Al 0.500 0.250 0.750 1
Al2 Al 0.700 0.700 0.000 1
Al3 Al 0.750 0.250 0.500 1
Al4 Al 0.750 0.500 0.250 1
Al5 Al 0.500 0.750 0.250 1
Al6 Al 0.300 0.300 0.000 1
Al7 Al 0.300 0.000 0.300 1
Al8 Al 0.000 0.700 0.700 1
Al9 Al 0.250 0.500 0.750 1
Al10 Al 0.250 0.750 0.500 1
Al11 Al 0.700 0.000 0.700 1
Al12 Al 0.000 0.300 0.300 1
Tm1 Tm 0.000 0.500 0.000 1
Tm2 Tm 0.500 0.000 0.000 1
Tm3 Tm 0.000 0.000 0.500 1
Tm4 Tm 0.500 0.500 0.500 1
Zn1 Zn 0.000 0.000 0.000 1
# size of the total moment: 0.000 μB/atom
# space group: No. 229
# formation energy from the elements: -0.353 eV/atom
# V: 321.8 Å³ per cell

---

# Tm3Al4Zn2 (GGA-PBE, relaxed)
data_Tm3Al4Zn2
_chemical_formula_sum 'Tm3 Al4 Zn2'
_cell_length_a 4.477
_cell_length_b 5.671
_cell_length_c 8.525
_cell_angle_alpha 112.36
_cell_angle_beta 90.00
_cell_angle_gamma 113.25
_space_group_name_H-M_alt 'P 1'
_space_group_IT_number 1
loop_
_space_group_symop_operation_xyz
'x,y,z'
loop_
_atom_site_label
_atom_site_type_symbol
_atom_site_fract_x
_atom_site_fract_y
_atom_site_fract_z
_atom_site_occupancy
Tm1 Tm 0.332 0.664 0.336 1
Tm2 Tm 0.000 0.000 0.000 1
Tm3 Tm 0.668 0.336 0.664 1
Al1 Al 0.273 0.546 0.936 1
Al2 Al 0.727 0.454 0.064 1
Al3 Al 0.049 0.098 0.381 1
Al4 Al 0.951 0.902 0.619 1
Zn1 Zn 0.609 0.219 0.277 1
Zn2 Zn 0.391 0.781 0.723 1
# size of the total moment: 0.000 μB/atom
# space group: No. 12
# formation energy from the elements: -0.456 eV/atom
# V: 181.0 Å³ per cell

---

Short version: theoretical density = 7.69; 7.39; 8.06; 7.82; 7.81; 7.28; 7.31; 6.85; 5.50; 6.84 g/cm3, in the order given.